Record 1
A plane-wave DFT calculation with PBE-GGA was carried out for a relaxed structure of Hf12Rh6C.

abc: 7.397 7.397 7.397
angles: 99.60 99.60 99.60
Atoms (fractional coordinates):
Hf 0.814 0.585 0.445
Hf 0.445 0.814 0.585
Hf 0.585 0.445 0.814
Hf 0.186 0.415 0.555
Hf 0.555 0.186 0.415
Hf 0.415 0.555 0.186
Hf 0.074 0.994 0.308
Hf 0.006 0.692 0.926
Hf 0.692 0.926 0.006
Hf 0.926 0.006 0.692
Hf 0.994 0.308 0.074
Hf 0.308 0.074 0.994
Rh 0.693 0.875 0.353
Rh 0.647 0.307 0.125
Rh 0.125 0.647 0.307
Rh 0.307 0.125 0.647
Rh 0.353 0.693 0.875
Rh 0.875 0.353 0.693
C 0.000 0.000 0.000

Its crystal system is trigonal. The calculation puts the formation enthalpy at 0 K at -0.41 eV/atom. For the uncorrected energy, the calculation gives -9.50 eV/atom.

***

Record 2
A plane-wave DFT calculation with PBE-GGA was carried out for a relaxed structure of HfRu2RhC.

abc: 4.102 4.102 4.088
angles: 90.00 90.00 90.00
Atoms (fractional coordinates):
Rh 0.000 0.000 0.500
C 0.000 0.000 0.000
Hf 0.500 0.500 0.500
Ru 0.000 0.500 0.000
Ru 0.500 0.000 0.000

Its crystal system is tetragonal. The calculation puts the formation enthalpy at 0 K at -0.37 eV/atom. For the uncorrected energy, the calculation gives -9.39 eV/atom.

***

Record 3
A plane-wave DFT calculation with PBE-GGA was carried out for a relaxed structure of HfRhC2Se.

abc: 3.943 5.032 3.943
angles: 90.00 90.00 90.00
Atoms (fractional coordinates):
Rh 0.000 0.000 0.000
C 0.000 0.000 0.500
C 0.500 0.000 0.000
Hf 0.500 0.500 0.500
Se 0.000 0.500 0.000

Its crystal system is tetragonal. For the formation energy (no corrections), the calculation gives 1216 meV/atom. For the uncorrected energy, the calculation gives -6.63 eV/atom.

***

Record 4
A plane-wave DFT calculation with PBE-GGA was carried out for a relaxed structure of HfTi2RhC.

abc: 4.130 4.478 4.130
angles: 90.00 90.00 90.00
Atoms (fractional coordinates):
Rh 0.500 0.500 0.500
C 0.000 0.000 0.000
Hf 0.000 0.500 0.000
Ti 0.000 0.000 0.500
Ti 0.500 0.000 0.000

Its crystal system is tetragonal. The calculation puts the formation enthalpy at 0 K at -0.56 eV/atom. For the uncorrected energy, the calculation gives -9.02 eV/atom.

***

Record 5
A plane-wave DFT calculation with PBE-GGA was carried out for a relaxed structure of HfRu3C.

abc: 5.386 5.386 5.343
angles: 90.00 90.00 107.15
Atoms (fractional coordinates):
Ru 0.913 0.496 0.250
Ru 0.504 0.087 0.250
Ru 0.496 0.913 0.750
Ru 0.087 0.504 0.750
Ru 0.000 0.000 0.000
Ru 0.000 0.000 0.500
C 0.174 0.826 0.250
C 0.826 0.174 0.750
Hf 0.433 0.567 0.250
Hf 0.567 0.433 0.750

Its crystal system is orthorhombic. The calculation puts the formation enthalpy at 0 K at 0.25 eV/atom. For the uncorrected energy, the calculation gives -9.15 eV/atom.

***

Record 6
A plane-wave DFT calculation with PBE-GGA was carried out for a relaxed structure of HfRu3C.

abc: 19.778 4.801 7.776
angles: 90.00 157.60 90.00
Atoms (fractional coordinates):
Ru 0.324 0.934 0.988
Ru 0.676 0.066 0.012
Ru 0.176 0.434 0.512
Ru 0.824 0.566 0.488
Ru 0.371 0.403 0.287
Ru 0.629 0.597 0.713
Ru 0.129 0.903 0.213
Ru 0.871 0.097 0.787
Ru 0.336 0.882 0.381
Ru 0.664 0.118 0.619
Ru 0.164 0.382 0.119
Ru 0.836 0.618 0.881
C 0.568 0.678 0.834
C 0.432 0.322 0.166
C 0.932 0.178 0.666
C 0.068 0.822 0.334
Hf 0.036 0.225 0.471
Hf 0.964 0.775 0.529
Hf 0.464 0.725 0.029
Hf 0.536 0.275 0.971

Its crystal system is monoclinic. The calculation puts the formation enthalpy at 0 K at 0.10 eV/atom. For the uncorrected energy, the calculation gives -9.30 eV/atom.

***

Record 7
A plane-wave DFT calculation with PBE-GGA was carried out for a relaxed structure of HfRu3C.

abc: 7.607 7.607 7.607
angles: 60.00 60.00 60.00
Atoms (fractional coordinates):
Ru 0.806 0.194 0.194
Ru 0.056 0.444 0.444
Ru 0.444 0.444 0.056
Ru 0.444 0.056 0.056
Ru 0.056 0.444 0.056
Ru 0.806 0.194 0.806
Ru 0.444 0.056 0.444
Ru 0.056 0.056 0.444
Ru 0.194 0.806 0.194
Ru 0.194 0.806 0.806
Ru 0.194 0.194 0.806
Ru 0.806 0.806 0.194
C 0.125 0.125 0.125
C 0.125 0.625 0.125
C 0.625 0.125 0.125
C 0.125 0.125 0.625
Hf 0.625 0.625 0.625
Hf 0.625 0.125 0.625
Hf 0.125 0.625 0.625
Hf 0.625 0.625 0.125

Its crystal system is cubic. The calculation puts the formation enthalpy at 0 K at 0.11 eV/atom. For the uncorrected energy, the calculation gives -9.29 eV/atom.

***

Record 8
A plane-wave DFT calculation with PBE-GGA was carried out for a relaxed structure of HfRu3C.

abc: 2.914 6.862 6.862
angles: 134.71 90.00 90.00
Atoms (fractional coordinates):
Ru 0.500 0.151 0.326
Ru 0.500 0.674 0.849
Ru 0.000 0.267 0.733
C 0.000 0.438 0.562
Hf 0.500 0.099 0.901

Its crystal system is orthorhombic. The calculation puts the formation enthalpy at 0 K at 0.85 eV/atom. For the uncorrected energy, the calculation gives -8.55 eV/atom.

***

Record 9
A plane-wave DFT calculation with PBE-GGA was carried out for a relaxed structure of HfRu3C.

abc: 4.008 5.483 6.867
angles: 90.00 94.71 90.00
Atoms (fractional coordinates):
Ru 0.767 0.985 0.115
Ru 0.233 0.015 0.885
Ru 0.767 0.515 0.115
Ru 0.233 0.485 0.885
Ru 0.294 0.250 0.278
Ru 0.706 0.750 0.722
C 0.803 0.250 0.321
C 0.197 0.750 0.679
Hf 0.700 0.250 0.637
Hf 0.300 0.750 0.363

Its crystal system is monoclinic. The calculation puts the formation enthalpy at 0 K at 0.10 eV/atom. For the uncorrected energy, the calculation gives -9.30 eV/atom.

***

Record 10
A plane-wave DFT calculation with PBE-GGA was carried out for a relaxed structure of Hf3RuC.

abc: 4.913 4.913 4.913
angles: 90.00 90.00 90.00
Atoms (fractional coordinates):
Ru 0.000 0.000 0.000
C 0.500 0.500 0.500
Hf 0.000 0.500 0.000
Hf 0.000 0.000 0.500
Hf 0.500 0.000 0.000

Its crystal system is cubic. The calculation puts the formation enthalpy at 0 K at 1.47 eV/atom. For the uncorrected energy, the calculation gives -8.20 eV/atom. The excess energy over the best structure of this formula in the dataset is 9.15 eV/f.u.

***

Record 11
A plane-wave DFT calculation with PBE-GGA was carried out for a relaxed structure of HfRu3C.

abc: 13.084 7.441 7.441
angles: 156.92 146.44 33.56
Atoms (fractional coordinates):
Ru 0.690 0.333 0.667
Ru 0.310 0.667 0.333
Ru 0.040 0.292 0.708
Ru 0.960 0.708 0.292
Ru 0.592 0.594 0.406
Ru 0.408 0.406 0.594
C 0.660 0.949 0.051
C 0.340 0.051 0.949
Hf 0.802 0.069 0.931
Hf 0.198 0.931 0.069

Its crystal system is monoclinic. The calculation puts the formation enthalpy at 0 K at 0.30 eV/atom. For the uncorrected energy, the calculation gives -9.10 eV/atom.

***

Record 12
A plane-wave DFT calculation with PBE-GGA was carried out for a relaxed structure of HfRu3C.

abc: 5.583 5.832 5.767
angles: 59.63 103.52 121.49
Atoms (fractional coordinates):
Ru 0.506 0.822 0.255
Ru 0.510 0.314 0.746
Ru 0.999 0.750 0.890
Ru 0.001 0.250 0.895
Ru 0.997 0.228 0.404
Ru 0.507 0.320 0.260
C 0.253 0.495 0.575
C 0.753 0.290 0.075
Hf 0.983 0.750 0.379
Hf 0.524 0.824 0.771

Its crystal system is monoclinic. The calculation puts the formation enthalpy at 0 K at -0.26 eV/atom. For the uncorrected energy, the calculation gives -9.66 eV/atom.

***

Record 13
A plane-wave DFT calculation with PBE-GGA was carried out for a relaxed structure of HfRu3C.

abc: 5.090 5.790 5.718
angles: 60.41 90.00 107.31
Atoms (fractional coordinates):
Ru 0.513 0.133 0.302
Ru 0.513 0.133 0.786
Ru 0.008 0.624 0.051
Ru 0.005 0.141 0.540
Ru 0.008 0.624 0.546
Ru 0.496 0.622 0.799
C 0.232 0.889 0.666
C 0.743 0.389 0.916
Hf 0.038 0.129 0.046
Hf 0.477 0.609 0.306

Its crystal system is monoclinic. The calculation puts the formation enthalpy at 0 K at -0.22 eV/atom. For the uncorrected energy, the calculation gives -9.63 eV/atom.

***

Record 14
A plane-wave DFT calculation with PBE-GGA was carried out for a relaxed structure of Hf4Ru12C3.

abc: 4.081 4.081 16.020
angles: 90.00 90.00 90.00
Atoms (fractional coordinates):
Hf 0.000 0.000 0.883
Hf 0.000 0.000 0.117
Hf 0.000 0.000 0.373
Hf 0.000 0.000 0.627
Ru 0.500 0.500 0.884
Ru 0.500 0.500 0.116
Ru 0.500 0.500 0.373
Ru 0.500 0.500 0.627
Ru 0.500 0.000 0.000
Ru 0.500 0.000 0.249
Ru 0.500 0.000 0.500
Ru 0.500 0.000 0.751
Ru 0.000 0.500 0.000
Ru 0.000 0.500 0.249
Ru 0.000 0.500 0.500
Ru 0.000 0.500 0.751
C 0.500 0.500 0.239
C 0.500 0.500 0.500
C 0.500 0.500 0.761

Its crystal system is tetragonal. The calculation puts the formation enthalpy at 0 K at -0.35 eV/atom. For the uncorrected energy, the calculation gives -9.76 eV/atom.

***

Record 15
A plane-wave DFT calculation with PBE-GGA was carried out for a relaxed structure of HfRu3C.

abc: 13.068 7.417 7.417
angles: 87.01 128.99 51.01
Atoms (fractional coordinates):
Ru 0.455 0.323 0.467
Ru 0.045 0.967 0.823
Ru 0.545 0.677 0.533
Ru 0.955 0.033 0.177
Ru 0.071 0.226 0.102
Ru 0.429 0.602 0.726
Ru 0.929 0.774 0.898
Ru 0.571 0.398 0.274
Ru 0.808 0.690 0.028
Ru 0.692 0.528 0.190
Ru 0.192 0.310 0.972
Ru 0.308 0.472 0.810
C 0.750 0.216 0.716
C 0.250 0.784 0.284
C 0.750 0.495 0.995
C 0.250 0.505 0.005
Hf 0.332 0.194 0.589
Hf 0.168 0.089 0.694
Hf 0.668 0.806 0.411
Hf 0.832 0.911 0.306

Its crystal system is monoclinic. The calculation puts the formation enthalpy at 0 K at 0.13 eV/atom. For the uncorrected energy, the calculation gives -9.27 eV/atom.

***

Record 16
A plane-wave DFT calculation with PBE-GGA was carried out for a relaxed structure of HfRu3C.

abc: 5.053 5.053 5.766
angles: 90.00 90.00 110.48
Atoms (fractional coordinates):
Ru 0.699 0.503 0.475
Ru 0.198 0.504 0.725
Ru 0.199 0.003 0.975
Ru 0.699 0.004 0.725
Ru 0.698 0.004 0.225
Ru 0.198 0.504 0.225
C 0.938 0.265 0.475
C 0.438 0.765 0.975
Hf 0.211 0.991 0.475
Hf 0.711 0.491 0.975

Its crystal system is tetragonal. The calculation puts the formation enthalpy at 0 K at -0.23 eV/atom. For the uncorrected energy, the calculation gives -9.63 eV/atom.

***

Record 17
A plane-wave DFT calculation with PBE-GGA was carried out for a relaxed structure of HfRu3C.

abc: 17.868 4.732 7.685
angles: 90.00 154.86 90.00
Atoms (fractional coordinates):
Ru 0.337 0.244 0.008
Ru 0.663 0.756 0.992
Ru 0.163 0.744 0.492
Ru 0.837 0.256 0.508
Ru 0.459 0.262 0.630
Ru 0.541 0.738 0.370
Ru 0.041 0.762 0.870
Ru 0.959 0.238 0.130
Ru 0.415 0.757 0.744
Ru 0.585 0.243 0.256
Ru 0.085 0.257 0.756
Ru 0.915 0.743 0.244
C 0.122 0.484 0.609
C 0.878 0.516 0.391
C 0.378 0.984 0.891
C 0.622 0.016 0.109
Hf 0.302 0.775 0.156
Hf 0.698 0.225 0.844
Hf 0.198 0.275 0.344
Hf 0.802 0.725 0.656

Its crystal system is monoclinic. The calculation puts the formation enthalpy at 0 K at -0.21 eV/atom. For the uncorrected energy, the calculation gives -9.61 eV/atom.

***

Record 18
A plane-wave DFT calculation with PBE-GGA was carried out for a relaxed structure of HfRu3C.

abc: 3.285 3.285 16.399
angles: 90.00 90.00 120.00
Atoms (fractional coordinates):
Ru 0.000 0.000 0.250
Ru 0.000 0.000 0.750
Ru 0.333 0.667 0.881
Ru 0.333 0.667 0.619
Ru 0.667 0.333 0.381
Ru 0.667 0.333 0.119
C 0.333 0.667 0.750
C 0.667 0.333 0.250
Hf 0.000 0.000 0.000
Hf 0.000 0.000 0.500

Its crystal system is hexagonal. The calculation puts the formation enthalpy at 0 K at 0.32 eV/atom. For the uncorrected energy, the calculation gives -9.08 eV/atom.

***

Record 19
A plane-wave DFT calculation with PBE-GGA was carried out for a relaxed structure of HfRu3C.

abc: 4.412 4.412 8.185
angles: 90.00 90.00 120.00
Atoms (fractional coordinates):
Ru 0.000 0.000 0.250
Ru 0.000 0.000 0.750
Ru 0.333 0.667 0.084
Ru 0.333 0.667 0.416
Ru 0.667 0.333 0.584
Ru 0.667 0.333 0.916
C 0.000 0.000 0.000
C 0.000 0.000 0.500
Hf 0.333 0.667 0.750
Hf 0.667 0.333 0.250

Its crystal system is hexagonal. The calculation puts the formation enthalpy at 0 K at 0.49 eV/atom. For the uncorrected energy, the calculation gives -8.91 eV/atom.

***

Record 20
A plane-wave DFT calculation with PBE-GGA was carried out for a relaxed structure of HfRu3C.

abc: 5.207 7.161 7.582
angles: 90.00 90.00 90.00
Atoms (fractional coordinates):
Ru 0.036 0.919 0.850
Ru 0.464 0.419 0.350
Ru 0.464 0.081 0.350
Ru 0.964 0.419 0.150
Ru 0.964 0.081 0.150
Ru 0.536 0.581 0.650
Ru 0.536 0.919 0.650
Ru 0.036 0.581 0.850
Ru 0.302 0.250 0.711
Ru 0.198 0.750 0.211
Ru 0.698 0.750 0.289
Ru 0.802 0.250 0.789
C 0.638 0.250 0.544
C 0.862 0.750 0.044
C 0.362 0.750 0.456
C 0.138 0.250 0.956
Hf 0.000 0.000 0.500
Hf 0.500 0.500 0.000
Hf 0.500 0.000 0.000
Hf 0.000 0.500 0.500

Its crystal system is orthorhombic. The calculation puts the formation enthalpy at 0 K at 0.09 eV/atom. For the uncorrected energy, the calculation gives -9.31 eV/atom.